A plane-wave DFT calculation with PBE-GGA was carried out for a relaxed PbBrN crystal. Values from VASP.

```
&SYSTEM
  ibrav = 0, nat = 6, ntyp = 3
/
ATOMIC_SPECIES
Pb 207.20 Pb.upf
Br 79.90 Br.upf
N 14.01 N.upf
CELL_PARAMETERS angstrom
-1.5306 4.0868 1.7808
-2.9557 -4.7739 2.1778
5.5906 0.6224 3.3768
ATOMIC_POSITIONS crystal
Pb 0.8489 0.6977 0.2326
Pb 0.1511 0.3023 0.7674
Br 0.8659 0.7318 0.7323
Br 0.1341 0.2682 0.2677
N 0.4586 0.9172 0.4174
N 0.5414 0.0828 0.5826
```

Uncorrected formation energy, eV per atom: -0.1586
Theoretical density, g/cm3: 6.19
Spin magnetization, μB per formula unit: 0.0